No. 1
CsFeCu2I6: optimized geometry, PBE-GGA.

Structure (extended XYZ):
```
20
Lattice="7.7916 -7.8033 0.0000 7.7916 7.8033 0.0000 -3.4488 0.0000 7.2058" Properties=species:S:1:pos:R:3 pbc="T T T"
Cs 5.2050 5.4377 5.4044
Cs 6.9294 -5.4377 1.8015
Fe 6.9294 3.5819 1.8015
Fe 5.2050 -3.5819 5.4044
Cu 1.7010 0.9374 5.5782
Cu 3.4255 -0.9374 1.9752
Cu 8.7089 0.9374 5.2306
Cu 10.4333 -0.9374 1.6277
I 4.8676 5.1138 1.5025
I 2.5054 1.1435 3.1410
I 3.6759 2.1057 6.9157
I 8.9911 5.1138 2.1005
I 0.7810 -1.1435 6.7439
I 6.7340 2.1057 3.8931
I 5.4003 -2.1057 3.3128
I 11.3533 1.1435 0.4619
I 3.1432 -5.1138 5.1054
I 8.4584 -2.1057 0.2902
I 9.6289 -1.1435 4.0648
I 7.2667 -5.1138 5.7034
```

Results
SG: No. 15
Raw formation energy, eV per formula unit: -4.21

***

No. 2
Cs2FeCuI6: optimized geometry, PBE-GGA.

Structure (extended XYZ):
```
10
Lattice="-4.1868 4.1868 5.7699 4.1868 -4.1868 5.7699 4.1868 4.1868 -5.7699" Properties=species:S:1:pos:R:3 pbc="T T T"
Cs 4.1868 0.0000 2.8850
Cs 0.0000 4.1868 2.8850
Fe 0.0000 0.0000 0.0000
Cu 0.0000 0.0000 5.7699
I 1.8954 1.8954 0.0000
I 2.2915 -2.2915 5.7699
I 0.0000 0.0000 3.2641
I 0.0000 0.0000 8.2757
I -2.2915 2.2915 5.7699
I 2.2915 2.2915 5.7699
```

Results
SG: No. 139
Raw formation energy, eV per formula unit: -6.48

***

Calculated density (Mg/m³)
4.08 4.71